SrBi2CBr PBE relaxed; formation energy from raw total energies = 0.1715 eV per atom; calculated volume = 142.8 Å³/cell
1.0
4.898 0.000 0.000
0.000 4.898 0.000
0.000 0.000 5.952
Sr Bi C Br
1 2 1 1
direct
0.000 0.000 0.000 Sr
0.000 0.500 0.500 Bi
0.500 0.000 0.500 Bi
0.000 0.000 0.500 C
0.500 0.500 0.000 Br